(w)
Below is a relaxed structure of RbCa3Si, with properties calculated at the PBE level.

a b c (Å): 5.940 5.940 5.940
angles (deg): 90.00 90.00 90.00
Atoms (fractional coordinates):
Ca  0.000  0.500  0.000
Ca  0.000  0.000  0.500
Ca  0.500  0.000  0.000
Si  0.000  0.000  0.000
Rb  0.500  0.500  0.500

Summary:
- magnetization (μB/cell) = 0.82
- symmetry = Pm-3m


(x)
Below is a relaxed structure of RbCa3Si, with properties calculated at the PBE level.

a b c (Å): 5.831 5.831 5.831
angles (deg): 90.00 90.00 90.00
Last column: magnetic moment on the atom in μB.
Atoms (fractional coordinates):
Ca  0.000  0.500  0.000  0.21
Ca  0.000  0.000  0.500  0.33
Ca  0.500  0.000  0.000  0.14
Si  0.500  0.500  0.500  -0.10
Rb  0.000  0.000  0.000  0.23

Summary:
- magnetization (μB/cell) = 2.47
- symmetry = Pm-3m


Most stable to least stable, the ends of the list are (w) and (x).


(w)
Below is a relaxed structure of RbCa2Si2, with properties calculated at the PBE level.

a b c (Å): 5.342 5.342 6.657
angles (deg): 66.35 66.35 90.00
Atoms (fractional coordinates):
Ca  0.750  0.250  0.500
Ca  0.250  0.750  0.500
Si  0.391  0.391  0.218
Si  0.609  0.609  0.782
Rb  0.000  0.000  0.000

Summary:
- magnetization (μB/cell) = 0.00
- symmetry = I4/mmm


(x)
Below is a relaxed structure of RbCa2Si2, with properties calculated at the PBE level.

a b c (Å): 8.389 8.389 4.247
angles (deg): 90.00 90.00 90.00
Atoms (fractional coordinates):
Ca  0.163  0.663  0.500
Ca  0.663  0.837  0.500
Ca  0.837  0.337  0.500
Ca  0.337  0.163  0.500
Si  0.398  0.898  0.000
Si  0.898  0.602  0.000
Si  0.602  0.102  0.000
Si  0.102  0.398  0.000
Rb  0.000  0.000  0.000
Rb  0.500  0.500  0.000

Summary:
- magnetization (μB/cell) = 0.00
- symmetry = P4/mbm


(y)
Below is a relaxed structure of RbCa2Si2, with properties calculated at the PBE level.

a b c (Å): 9.223 9.223 3.204
angles (deg): 90.00 90.00 90.00
Atoms (fractional coordinates):
Ca  0.373  0.873  0.000
Ca  0.873  0.627  0.000
Ca  0.627  0.127  0.000
Ca  0.127  0.373  0.000
Si  0.169  0.669  0.500
Si  0.669  0.831  0.500
Si  0.831  0.331  0.500
Si  0.331  0.169  0.500
Rb  0.000  0.000  0.000
Rb  0.500  0.500  0.000

Summary:
- magnetization (μB/cell) = 0.00
- symmetry = P4/mbm


Most stable to least stable, the ends of the list are (y) and (x).


(w)
Below is a relaxed structure of RbCaSi2, with properties calculated at the PBE level.

a b c (Å): 5.204 5.204 10.925
angles (deg): 76.22 76.22 90.00
Atoms (fractional coordinates):
Ca  0.500  0.500  0.000
Ca  0.250  0.750  0.500
Si  0.375  0.125  0.250
Si  0.375  0.625  0.250
Si  0.375  0.625  0.750
Si  0.875  0.625  0.750
Rb  0.000  0.000  0.000
Rb  0.750  0.250  0.500

Summary:
- magnetization (μB/cell) = 0.00
- symmetry = I4_1/amd


(x)
Below is a relaxed structure of RbCaSi2, with properties calculated at the PBE level.

a b c (Å): 5.376 5.376 5.376
angles (deg): 60.00 60.00 60.00
Atoms (fractional coordinates):
Ca  0.000  0.000  0.000
Si  0.250  0.250  0.250
Si  0.750  0.750  0.750
Rb  0.500  0.500  0.500

Summary:
- magnetization (μB/cell) = 0.00
- symmetry = Fm-3m


Most stable to least stable, the ends of the list are (w) and (x).